1.
A plane-wave DFT calculation with GGA-PBE was carried out for PrNd2AgHg3Pd2 after structural relaxation.

```
PrNd2AgHg3Pd2
1.0
3.927 0.000 0.000
0.000 6.865 3.963
0.000 -6.865 3.963
Ag Hg Nd Pd Pr
1 3 2 2 1
Cartesian
0.000 0.000 7.923 Ag
1.963 5.023 5.022 Hg
1.963 0.000 5.811 Hg
1.963 -5.023 5.022 Hg
0.000 4.064 2.346 Nd
0.000 -4.064 2.346 Nd
1.963 2.294 3.965 Pd
1.963 -2.294 3.965 Pd
0.000 0.000 3.233 Pr
```

Summary:
* crystal system: orthorhombic
* E_form: -0.61 eV per atom

2.
A plane-wave DFT calculation with GGA-PBE was carried out for Na3CdF6 after structural relaxation.

```
Na3CdF6
1.0
-2.835 2.835 4.168
2.835 -2.835 4.168
2.835 2.835 -4.168
Cd F Na
1 6 3
Cartesian
0.000 0.000 0.000 Cd
0.000 0.000 2.089 F
0.000 0.000 6.247 F
1.972 -0.887 4.168 F
1.949 0.863 0.000 F
0.887 1.972 4.168 F
0.863 3.722 0.000 F
0.000 0.000 4.168 Na
0.000 2.835 2.084 Na
2.835 0.000 2.084 Na
```

Summary:
* E_tot: -38.04 eV for the cell shown
* crystal system: tetragonal

3.
A plane-wave DFT calculation with GGA-PBE was carried out for NaPuU after structural relaxation.

```
NaPuU
1.0
-1.766 -3.446 -2.786
-2.495 -3.580 1.926
-4.704 -0.295 -0.736
Na Pu U
1 1 1
Cartesian
-2.241 -1.830 -0.399 Na
0.000 0.000 0.000 Pu
-6.724 -5.491 -1.197 U
```

Summary:
* excess energy over the best structure of this formula in the dataset: 0.000 eV per atom
* crystal system: cubic

Please write out number 1 again, unchanged.
A plane-wave DFT calculation with GGA-PBE was carried out for PrNd2AgHg3Pd2 after structural relaxation.

```
PrNd2AgHg3Pd2
1.0
3.927 0.000 0.000
0.000 6.865 3.963
0.000 -6.865 3.963
Ag Hg Nd Pd Pr
1 3 2 2 1
Cartesian
0.000 0.000 7.923 Ag
1.963 5.023 5.022 Hg
1.963 0.000 5.811 Hg
1.963 -5.023 5.022 Hg
0.000 4.064 2.346 Nd
0.000 -4.064 2.346 Nd
1.963 2.294 3.965 Pd
1.963 -2.294 3.965 Pd
0.000 0.000 3.233 Pr
```

Summary:
* crystal system: orthorhombic
* E_form: -0.61 eV per atom